The following is a DFT calculation (PBE with a Hubbard U) of a relaxed Li5Mn3Cr2O10 crystal.

Calculated values
For the uncorrected energy, the calculation gives -134.138 eV for the cell shown. The value obtained for the total magnetization is 0.900 μB/atom.

CIF file:
```
data_Li5Mn3Cr2O10
_chemical_formula_sum 'Li5 Mn3 Cr2 O10'
_space_group_name_H-M_alt 'P 1'
_space_group_IT_number 1
_cell_length_a 5.2047
_cell_length_b 5.2174
_cell_length_c 7.7939
_cell_angle_alpha 103.62
_cell_angle_beta 108.20
_cell_angle_gamma 99.63
loop_
_space_group_symop_operation_xyz
'x,y,z'
loop_
_atom_site_label
_atom_site_type_symbol
_atom_site_fract_x
_atom_site_fract_y
_atom_site_fract_z
_atom_site_occupancy
Li1 Li 0.0000 0.0000 0.0000 1
Li2 Li 0.2213 0.1083 0.7236 1
Li3 Li 0.4250 0.7056 0.9188 1
Li4 Li 0.5750 0.2944 0.0812 1
Li5 Li 0.7787 0.8917 0.2764 1
Mn1 Mn 0.0000 0.5000 0.5000 1
Mn2 Mn 0.3947 0.1954 0.3955 1
Mn3 Mn 0.6053 0.8046 0.6045 1
Cr1 Cr 0.1975 0.6014 0.1933 1
Cr2 Cr 0.8025 0.3986 0.8067 1
O1 O 0.0313 0.2701 0.2702 1
O2 O 0.1834 0.3676 0.9497 1
O3 O 0.2143 0.8232 0.4585 1
O4 O 0.3855 0.9529 0.1650 1
O5 O 0.4118 0.4260 0.6439 1
O6 O 0.5882 0.5740 0.3561 1
O7 O 0.6145 0.0471 0.8350 1
O8 O 0.7857 0.1768 0.5415 1
O9 O 0.8166 0.6324 0.0503 1
O10 O 0.9687 0.7299 0.7298 1
```